Compound: NdSb2F12
Source: the Open Quantum Materials Database
Functional: PBE
Structure: relaxed

Cell: 4.742 5.105 8.517 Å, 106.13 92.15 115.47°
Atoms (fractional coordinates):
1 F 0.412 0.989 0.011
2 F 0.473 0.561 0.047
3 F 0.021 0.269 0.191
4 F 0.046 0.838 0.210
5 F 0.600 0.142 0.371
6 F 0.561 0.662 0.378
7 F 0.069 0.674 0.467
8 F 0.168 0.257 0.521
9 F 0.617 0.903 0.682
10 F 0.762 0.472 0.686
11 F 0.229 0.105 0.765
12 F 0.874 0.395 0.956
13 Nd 0.876 0.889 0.933
14 Sb 0.705 0.442 0.197
15 Sb 0.416 0.070 0.563

Values from the calculation:
electronic total energy: -73.54 eV/cell

Compound: Cu5Ag2
Source: the Open Quantum Materials Database
Functional: PBE
Structure: relaxed

Cell: 9.822 9.822 9.822 Å, 164.12 158.35 26.97°
Atoms (fractional coordinates):
1 Ag 0.424 0.424 0.000
2 Ag 0.576 0.576 0.000
3 Cu 0.000 0.000 0.000
4 Cu 0.152 0.152 0.000
5 Cu 0.283 0.283 0.000
6 Cu 0.717 0.717 0.000
7 Cu 0.848 0.848 0.000

Values from the calculation:
ΔE_f: 0.079 eV/atom
energy above the lowest structure with this stoichiometry: 0.0276 eV per atom
electronic total energy: -23.68 eV/cell

Compound: RbErLu
Source: the Open Quantum Materials Database
Functional: PBE
Structure: relaxed

Cell: 5.870 5.870 5.870 Å, 60.00 60.00 60.00°
Atoms (fractional coordinates):
1 Er 0.250 0.250 0.250
2 Lu 0.000 0.000 0.000
3 Rb 0.750 0.750 0.750

Values from the calculation:
electronic total energy: -6.29 eV/cell

Compound: Na2PaW2
Source: the Open Quantum Materials Database
Functional: PBE
Structure: relaxed

Cell: 4.729 4.729 6.512 Å, 90.00 90.00 120.00°
Atoms (fractional coordinates):
1 Na 0.667 0.333 0.407
2 Na 0.333 0.667 0.593
3 Pa 0.000 0.000 0.000
4 W 0.333 0.667 0.054
5 W 0.667 0.333 0.946

Values from the calculation:
electronic total energy: -33.67 eV/cell

Look up the electronic total energy of the second one.
-23.68 eV/cell

Number 2 is which compound?
Cu5Ag2

What is the electronic total energy in the fourth record?
-33.67 eV/cell